No. 1
# CaHgBr | Alexandria via LeMat-Bulk | PBE | optimized geometry
# volume = 379.1 Å³ per cell
# M_tot = 0.00 μB/cell
# energy above the most stable polymorph in this dataset = 165 meV per atom
# E_form (uncorrected) = -968 meV/atom
data_CaHgBr
_symmetry_space_group_name_H-M 'F m m 2'
_symmetry_Int_Tables_number 42
_symmetry_space_group_name_Hall 'F 2 -2'
_cell_length_a 5.260
_cell_length_b 5.333
_cell_length_c 13.517
_cell_angle_alpha 90.00
_cell_angle_beta 90.00
_cell_angle_gamma 90.00
loop_
_atom_site_label
_atom_site_type_symbol
_atom_site_fract_x
_atom_site_fract_y
_atom_site_fract_z
_atom_site_occupancy
Ca1 Ca 0.000 0.000 0.000 1
Hg1 Hg 0.000 0.000 0.640 1
Br1 Br 0.000 0.000 0.385 1

No. 2
# Tl4SnHg2 | Alexandria via LeMat-Bulk | PBE | optimized geometry
# volume = 447.6 Å³ per cell
# M_tot = 0.00 μB/cell
# energy above the most stable polymorph in this dataset = 21 meV per atom
# energy of formation from the pure elements = 0.041 eV/atom
data_Tl4SnHg2
_symmetry_space_group_name_H-M 'P b a m'
_symmetry_Int_Tables_number 55
_cell_length_a 8.267
_cell_length_b 10.823
_cell_length_c 5.003
_cell_angle_alpha 90.00
_cell_angle_beta 90.00
_cell_angle_gamma 90.00
loop_
_symmetry_equiv_pos_as_xyz
'x,y,z'
'-x,-y,-z'
'-x,-y,z'
'x,y,-z'
'x+1/2,-y+1/2,-z'
'-x+1/2,y+1/2,z'
'-x+1/2,y+1/2,-z'
'x+1/2,-y+1/2,z'
loop_
_atom_site_label
_atom_site_type_symbol
_atom_site_fract_x
_atom_site_fract_y
_atom_site_fract_z
_atom_site_occupancy
Tl1 Tl 0.234 0.000 0.000 1
Tl2 Tl 0.249 0.250 0.500 1
Sn1 Sn 0.000 0.000 0.500 1
Hg1 Hg 0.001 0.716 0.000 1

No. 3
# Tl2InMo | Alexandria via LeMat-Bulk | PBE | optimized geometry
# volume = 89.4 Å³ per cell
# M_tot = 0.21 μB/cell
# energy above the most stable polymorph in this dataset = 195 meV per atom
# energy of formation from the pure elements = 0.643 eV/atom
data_Tl2InMo
_symmetry_space_group_name_H-M 'P 4/m m m'
_symmetry_Int_Tables_number 123
_symmetry_space_group_name_Hall '-P 4 2'
_cell_length_a 3.819
_cell_length_b 3.819
_cell_length_c 6.134
_cell_angle_alpha 90.00
_cell_angle_beta 90.00
_cell_angle_gamma 90.00
loop_
_atom_site_label
_atom_site_type_symbol
_atom_site_fract_x
_atom_site_fract_y
_atom_site_fract_z
_atom_site_occupancy
Tl1 Tl 0.000 0.000 0.236 1
In1 In 0.500 0.500 0.500 1
Mo1 Mo 0.500 0.500 0.000 1

No. 4
# Nd12Y5Th2 | Alexandria via LeMat-Bulk | PBE | optimized geometry
# volume = 1348.8 Å³ per cell
# M_tot = 0.00 μB/cell
# energy above the most stable polymorph in this dataset = 81 meV per atom
# energy of formation from the pure elements = 0.231 eV/atom
data_Nd12Y5Th2
_symmetry_space_group_name_H-M 'C 1 2/m 1'
_symmetry_Int_Tables_number 12
_cell_length_a 18.236
_cell_length_b 9.147
_cell_length_c 8.652
_cell_angle_alpha 90.00
_cell_angle_beta 110.85
_cell_angle_gamma 90.00
loop_
_symmetry_equiv_pos_as_xyz
'x,y,z'
'-x,-y,-z'
'-x,y,-z'
'x,-y,z'
'x+1/2,y+1/2,z'
'-x+1/2,-y+1/2,-z'
'-x+1/2,y+1/2,-z'
'x+1/2,-y+1/2,z'
loop_
_atom_site_label
_atom_site_type_symbol
_atom_site_fract_x
_atom_site_fract_y
_atom_site_fract_z
_atom_site_occupancy
Nd1 Nd 0.033 0.000 0.200 1
Nd2 Nd 0.059 0.500 0.671 1
Nd3 Nd 0.144 0.313 0.382 1
Nd4 Nd 0.148 0.268 0.960 1
Y1 Y 0.000 0.500 0.000 1
Y2 Y 0.195 0.000 0.690 1
Y3 Y 0.238 0.000 0.250 1
Th1 Th 0.000 0.172 0.500 1